*P*
A plane-wave DFT calculation with GGA-PBE was carried out for a relaxed structure of Pm5RhPb2.

Unit cell a=8.214 b=12.529 c=4.702 alpha=90.00 beta=90.00 gamma=90.00
Fractional coordinates of all 16 atoms:
Pm 0.000 0.000 0.000
Pm 0.134 0.298 0.000
Pm 0.187 0.566 0.500
Pm 0.313 0.066 0.500
Pm 0.366 0.798 0.000
Pm 0.500 0.500 0.000
Pm 0.634 0.202 0.000
Pm 0.687 0.934 0.500
Pm 0.813 0.434 0.500
Pm 0.866 0.702 0.000
Rh 0.000 0.500 0.000
Rh 0.500 0.000 0.000
Pb 0.079 0.828 0.500
Pb 0.421 0.328 0.500
Pb 0.579 0.672 0.500
Pb 0.921 0.172 0.500

=====

*Q*
A plane-wave DFT calculation with GGA-PBE was carried out for a relaxed structure of Pm5RhPb2.

Unit cell a=6.827 b=6.827 c=6.827 alpha=116.58 beta=116.58 gamma=96.04
Fractional coordinates of all 8 atoms:
Pm 0.000 0.000 0.000
Pm 0.489 0.489 0.501
Pm 0.489 0.988 0.000
Pm 0.988 0.489 0.000
Pm 0.988 0.988 0.499
Rh 0.380 0.380 0.000
Pb 0.488 0.988 0.500
Pb 0.988 0.488 0.500

=====

*P* has the most favorable energy; the next structure is 0.219 eV/atom above.

=====

*P*
A plane-wave DFT calculation with GGA-PBE was carried out for a relaxed structure of Pm3Rh4Pb4.

Unit cell a=8.885 b=8.885 c=8.885 alpha=152.27 beta=127.67 gamma=60.25
Fractional coordinates of all 11 atoms:
Pm 0.000 0.000 0.000
Pm 0.384 0.884 0.500
Pm 0.616 0.116 0.500
Rh 0.219 0.219 0.000
Rh 0.313 0.500 0.813
Rh 0.687 0.500 0.187
Rh 0.781 0.781 0.000
Pb 0.035 0.332 0.704
Pb 0.372 0.668 0.704
Pb 0.628 0.332 0.296
Pb 0.965 0.668 0.296

=====

*Q*
A plane-wave DFT calculation with GGA-PBE was carried out for a relaxed structure of Pm3Rh4Pb4.

Unit cell a=4.764 b=4.965 c=11.911 alpha=84.00 beta=80.94 gamma=67.82
Fractional coordinates of all 11 atoms:
Pm 0.000 0.000 0.000
Pm 0.114 0.035 0.710
Pm 0.886 0.965 0.290
Rh 0.261 0.270 0.145
Rh 0.303 0.777 0.488
Rh 0.697 0.223 0.512
Rh 0.739 0.730 0.855
Pb 0.205 0.327 0.394
Pb 0.390 0.374 0.873
Pb 0.610 0.626 0.127
Pb 0.795 0.673 0.606

=====

*P* has the most favorable energy; the next structure is 0.048 eV/atom above.

=====

*P*
A plane-wave DFT calculation with GGA-PBE was carried out for a relaxed structure of Pm4RhPb3.

Unit cell a=4.427 b=4.583 c=11.509 alpha=90.00 beta=90.00 gamma=90.00
Fractional coordinates of all 8 atoms:
Pm 0.000 0.000 0.000
Pm 0.000 0.500 0.247
Pm 0.500 0.000 0.442
Pm 0.500 0.500 0.750
Rh 0.500 0.000 0.199
Pb 0.000 0.000 0.714
Pb 0.000 0.500 0.520
Pb 0.500 0.500 0.031

=====

*Q*
A plane-wave DFT calculation with GGA-PBE was carried out for a relaxed structure of Pm4RhPb3.

Unit cell a=3.584 b=3.584 c=17.348 alpha=90.00 beta=90.00 gamma=90.00
Fractional coordinates of all 8 atoms:
Pm 0.000 0.000 0.098
Pm 0.000 0.000 0.367
Pm 0.000 0.000 0.633
Pm 0.000 0.000 0.902
Rh 0.500 0.500 0.000
Pb 0.500 0.500 0.235
Pb 0.500 0.500 0.500
Pb 0.500 0.500 0.765

=====

*Q* has the most favorable energy; the next structure is 0.022 eV/atom above.

=====

*P*
A plane-wave DFT calculation with GGA-PBE was carried out for a relaxed structure of Pm4RuPb2.

Unit cell a=6.277 b=6.277 c=8.946 alpha=120.66 beta=120.66 gamma=44.80
Fractional coordinates of all 7 atoms:
Pm 0.063 0.063 0.349
Pm 0.335 0.335 0.950
Pm 0.665 0.665 0.050
Pm 0.937 0.937 0.651
Ru 0.000 0.000 0.000
Pb 0.336 0.336 0.329
Pb 0.664 0.664 0.671

=====

*Q*
A plane-wave DFT calculation with GGA-PBE was carried out for a relaxed structure of Pm4RuPb2.

Unit cell a=9.242 b=9.242 c=9.242 alpha=147.49 beta=147.49 gamma=46.64
Fractional coordinates of all 7 atoms:
Pm 0.000 0.500 0.500
Pm 0.174 0.174 0.000
Pm 0.500 0.000 0.500
Pm 0.826 0.826 0.000
Ru 0.000 0.000 0.000
Pb 0.362 0.362 0.000
Pb 0.638 0.638 0.000

=====

*P* has the most favorable energy; the next structure is 0.151 eV/atom above.

=====

*P*
A plane-wave DFT calculation with GGA-PBE was carried out for a relaxed structure of PmRuPb.

Unit cell a=4.773 b=4.773 c=4.773 alpha=60.00 beta=60.00 gamma=60.00
Fractional coordinates of all 3 atoms:
Pm 0.000 0.000 0.000
Ru 0.250 0.250 0.250
Pb 0.500 0.500 0.500

=====

*Q*
A plane-wave DFT calculation with GGA-PBE was carried out for a relaxed structure of PmRuPb.

Unit cell a=4.769 b=4.769 c=3.626 alpha=90.00 beta=90.00 gamma=120.00
Fractional coordinates of all 3 atoms:
Pm 0.000 0.000 0.000
Ru 0.667 0.333 0.500
Pb 0.333 0.667 0.500

=====

*R*
A plane-wave DFT calculation with GGA-PBE was carried out for a relaxed structure of PmRuPb.

Unit cell a=3.490 b=3.490 c=12.409 alpha=90.00 beta=90.00 gamma=90.00
Fractional coordinates of all 6 atoms:
Pm 0.250 0.250 0.197
Pm 0.750 0.750 0.803
Ru 0.250 0.250 0.968
Ru 0.750 0.750 0.032
Pb 0.250 0.250 0.600
Pb 0.750 0.750 0.400

=====

*P* has the most favorable energy; the next structure is 0.006 eV/atom above.

=====

*P*
A plane-wave DFT calculation with GGA-PBE was carried out for a relaxed structure of Pm6Ru2Pb.

Unit cell a=8.740 b=8.740 c=8.740 alpha=112.83 beta=110.68 gamma=105.01
Fractional coordinates of all 18 atoms:
Pm 0.029 0.237 0.791
Pm 0.183 0.287 0.470
Pm 0.183 0.713 0.896
Pm 0.329 0.016 0.687
Pm 0.329 0.642 0.313
Pm 0.446 0.237 0.209
Pm 0.554 0.763 0.791
Pm 0.671 0.358 0.687
Pm 0.671 0.984 0.313
Pm 0.817 0.287 0.104
Pm 0.817 0.713 0.530
Pm 0.971 0.763 0.209
Ru 0.125 0.625 0.500
Ru 0.328 0.000 0.328
Ru 0.672 0.000 0.672
Ru 0.875 0.375 0.500
Pb 0.000 0.000 0.000
Pb 0.500 0.500 0.000

=====

*Q*
A plane-wave DFT calculation with GGA-PBE was carried out for a relaxed structure of Pm6Ru2Pb.

Unit cell a=5.872 b=5.872 c=9.512 alpha=101.38 beta=101.38 gamma=51.31
Fractional coordinates of all 9 atoms:
Pm 0.031 0.031 0.348
Pm 0.293 0.293 0.658
Pm 0.335 0.335 0.120
Pm 0.665 0.665 0.880
Pm 0.707 0.707 0.342
Pm 0.969 0.969 0.652
Ru 0.382 0.382 0.403
Ru 0.618 0.618 0.597
Pb 0.000 0.000 0.000

=====

*P* has the most favorable energy; the next structure is 0.071 eV/atom above.

=====

*P*
A plane-wave DFT calculation with GGA-PBE was carried out for a relaxed structure of Pm2PbS.

Unit cell a=3.519 b=3.519 c=8.177 alpha=90.00 beta=90.00 gamma=90.00
Fractional coordinates of all 4 atoms:
Pm 0.000 0.000 0.216
Pm 0.000 0.000 0.784
Pb 0.500 0.500 0.500
S 0.500 0.500 0.000

=====

*Q*
A plane-wave DFT calculation with GGA-PBE was carried out for a relaxed structure of Pm2PbS.

Unit cell a=8.327 b=8.327 c=8.327 alpha=27.78 beta=27.78 gamma=27.78
Fractional coordinates of all 4 atoms:
Pm 0.234 0.234 0.234
Pm 0.766 0.766 0.766
Pb 0.000 0.000 0.000
S 0.500 0.500 0.500

=====

*R*
A plane-wave DFT calculation with GGA-PBE was carried out for a relaxed structure of Pm2PbS.

Unit cell a=8.643 b=8.643 c=8.643 alpha=26.20 beta=26.20 gamma=26.20
Fractional coordinates of all 4 atoms:
Pm 0.000 0.000 0.000
Pm 0.202 0.202 0.202
Pb 0.768 0.768 0.768
S 0.601 0.601 0.601

=====

*Q* has the most favorable energy; the next structure is 0.012 eV/atom above.

=====

*P*
A plane-wave DFT calculation with GGA-PBE was carried out for a relaxed structure of Pm5Sb2Pb2.

Unit cell a=8.980 b=8.980 c=8.446 alpha=90.00 beta=90.00 gamma=55.67
Fractional coordinates of all 18 atoms:
Pm 0.000 0.000 0.000
Pm 0.030 0.692 0.664
Pm 0.192 0.530 0.164
Pm 0.308 0.970 0.664
Pm 0.470 0.808 0.164
Pm 0.500 0.500 0.500
Pm 0.530 0.192 0.836
Pm 0.692 0.030 0.336
Pm 0.808 0.470 0.836
Pm 0.970 0.308 0.336
Sb 0.202 0.202 0.000
Sb 0.298 0.298 0.500
Sb 0.702 0.702 0.500
Sb 0.798 0.798 0.000
Pb 0.135 0.865 0.364
Pb 0.365 0.635 0.864
Pb 0.635 0.365 0.136
Pb 0.865 0.135 0.636

=====

*Q*
A plane-wave DFT calculation with GGA-PBE was carried out for a relaxed structure of Pm5Sb2Pb2.

Unit cell a=8.980 b=8.980 c=8.447 alpha=90.00 beta=90.00 gamma=55.81
Fractional coordinates of all 18 atoms:
Pm 0.000 0.000 0.000
Pm 0.030 0.700 0.662
Pm 0.200 0.530 0.162
Pm 0.300 0.970 0.662
Pm 0.470 0.800 0.162
Pm 0.500 0.500 0.500
Pm 0.530 0.200 0.838
Pm 0.700 0.030 0.338
Pm 0.800 0.470 0.838
Pm 0.970 0.300 0.338
Sb 0.139 0.861 0.360
Sb 0.361 0.639 0.860
Sb 0.639 0.361 0.140
Sb 0.861 0.139 0.640
Pb 0.204 0.204 0.000
Pb 0.296 0.296 0.500
Pb 0.704 0.704 0.500
Pb 0.796 0.796 0.000

=====

*P* has the most favorable energy; the next structure is 0.020 eV/atom above.